[1]
VASP calculation (PBE-GGA) on a geometry-optimized K2NbGaHg structure.

Lattice parameters (Å, degrees): 6.2944 6.2944 5.1966 90.00 90.00 90.00
Last column: nearest neighbours and their distance in Å.
Sites, in units of the cell vectors:
K 0.0000 0.5000 0.0000  2 Hg 3.15
K 0.5000 0.0000 0.0000  2 Hg 3.15
Nb 0.0000 0.0000 0.5000  8 K 4.08, 4 Ga 4.45
Ga 0.5000 0.5000 0.5000  2 Hg 2.60
Hg 0.5000 0.5000 0.0000  2 Ga 2.60

Values from the calculation:
ΔE_f: 1.0474 eV/atom

[2]
VASP calculation (PBE-GGA) on a geometry-optimized TlCu4Ru structure.

Lattice parameters (Å, degrees): 4.9143 4.9143 4.9143 60.00 60.00 60.00
Last column: nearest neighbours and their distance in Å.
Sites, in units of the cell vectors:
Tl 0.0000 0.0000 0.0000  12 Cu 2.88, 4 Ru 3.01
Cu 0.1274 0.6242 0.6242  6 Cu 2.44-2.47
Cu 0.6242 0.1274 0.6242  6 Cu 2.44-2.47
Cu 0.6242 0.6242 0.1274  6 Cu 2.44-2.47
Cu 0.6242 0.6242 0.6242  6 Cu 2.44-2.47
Ru 0.2500 0.2500 0.2500  12 Cu 2.88, 4 Tl 3.01

Values from the calculation:
ΔE_f: 0.3279 eV/atom

[3]
VASP calculation (PBE-GGA) on a geometry-optimized NbMoRh structure.

Lattice parameters (Å, degrees): 3.7247 3.7247 7.2738 90.00 90.00 90.00
Last column: nearest neighbours and their distance in Å.
Sites, in units of the cell vectors:
Nb 0.2500 0.2500 0.1398  5 Rh 2.55-2.68
Nb 0.7500 0.7500 0.8602  5 Rh 2.55-2.68
Mo 0.2500 0.7500 0.5000  4 Mo 2.63, 4 Rh 2.81
Mo 0.7500 0.2500 0.5000  4 Mo 2.63, 4 Rh 2.81
Rh 0.2500 0.2500 0.7888  5 Nb 2.55-2.68, 4 Mo 2.81
Rh 0.7500 0.7500 0.2112  5 Nb 2.55-2.68, 4 Mo 2.81

Values from the calculation:
ΔE_f: -0.0170 eV/atom
Distance to the lowest polymorph of the same formula: 0.147 eV/atom

[4]
VASP calculation (PBE-GGA) on a geometry-optimized MgCd4Hg4 structure.

Lattice parameters (Å, degrees): 6.8990 6.8990 6.8990 112.87 112.87 102.87
Last column: nearest neighbours and their distance in Å.
Sites, in units of the cell vectors:
Mg 0.0000 0.0000 0.0000  4 Hg 2.87, 2 Cd 2.90
Cd 0.0000 0.5000 0.5000  4 Hg 3.01
Cd 0.3366 0.3366 0.0000  1 Cd 2.81, 4 Hg 2.85-2.99, 1 Mg 2.90
Cd 0.5000 0.0000 0.5000  4 Hg 3.01
Cd 0.6634 0.6634 0.0000  1 Cd 2.81, 4 Hg 2.85-2.99, 1 Mg 2.90
Hg 0.0822 0.6097 0.0000  4 Cd 2.85-3.01, 1 Mg 2.87
Hg 0.3903 0.3903 0.4725  4 Cd 2.85-3.01, 1 Mg 2.87
Hg 0.6097 0.0822 0.0000  4 Cd 2.85-3.01, 1 Mg 2.87
Hg 0.9178 0.9178 0.5275  4 Cd 2.85-3.01, 1 Mg 2.87

Values from the calculation:
ΔE_f: 0.0647 eV/atom
Distance to the lowest polymorph of the same formula: 0.084 eV/atom

[5]
VASP calculation (PBE-GGA) on a geometry-optimized MgBrN2 structure.

Lattice parameters (Å, degrees): 5.8113 5.8113 5.8113 90.00 90.00 90.00
Last column: nearest neighbours and their distance in Å.
Sites, in units of the cell vectors:
Mg 0.0000 0.0000 0.0000  8 N 2.52
Mg 0.0000 0.5000 0.5000  8 N 2.52
Mg 0.5000 0.0000 0.5000  8 N 2.52
Mg 0.5000 0.5000 0.0000  8 N 2.52
Br 0.0000 0.0000 0.5000  8 N 2.52
Br 0.0000 0.5000 0.0000  8 N 2.52
Br 0.5000 0.0000 0.0000  8 N 2.52
Br 0.5000 0.5000 0.5000  8 N 2.52
N 0.2500 0.2500 0.2500  4 Br 2.52, 4 Mg 2.52
N 0.2500 0.2500 0.7500  4 Mg 2.52, 4 Br 2.52
N 0.2500 0.7500 0.2500  4 Mg 2.52, 4 Br 2.52
N 0.2500 0.7500 0.7500  4 Br 2.52, 4 Mg 2.52
N 0.7500 0.2500 0.2500  4 Mg 2.52, 4 Br 2.52
N 0.7500 0.2500 0.7500  4 Br 2.52, 4 Mg 2.52
N 0.7500 0.7500 0.2500  4 Br 2.52, 4 Mg 2.52
N 0.7500 0.7500 0.7500  4 Mg 2.52, 4 Br 2.52

Values from the calculation:
Distance to the lowest polymorph of the same formula: 0.866 eV/atom

[6]
VASP calculation (PBE-GGA) on a geometry-optimized LaZnW2 structure.

Lattice parameters (Å, degrees): 3.2808 3.2808 7.5210 90.00 90.00 90.00
Last column: nearest neighbours and their distance in Å.
Sites, in units of the cell vectors:
La 0.0000 0.0000 0.0000  5 W 3.25-3.57, 4 La 3.28, 4 Zn 3.34
Zn 0.5000 0.5000 0.6809  5 W 2.79-2.85
W 0.0000 0.0000 0.4747  4 W 2.66, 4 Zn 2.79
W 0.5000 0.5000 0.3017  4 W 2.66, 1 Zn 2.85

Values from the calculation:
ΔE_f: 0.2625 eV/atom

[7]
VASP calculation (PBE-GGA) on a geometry-optimized LiB4C4 structure.

Lattice parameters (Å, degrees): 4.7401 5.4048 6.5050 71.69 71.77 89.96
Last column: nearest neighbours and their distance in Å.
Sites, in units of the cell vectors:
Li 0.2332 0.1882 0.4717  4 C 2.26-2.42, 4 B 2.37-2.47
Li 0.7668 0.8118 0.5283  4 C 2.26-2.42, 4 B 2.37-2.47
B 0.0553 0.7460 0.1840  3 C 1.57-1.60
B 0.0759 0.2432 0.1402  3 C 1.58-1.65
B 0.4223 0.4855 0.8571  3 C 1.55-1.62
B 0.4606 0.0188 0.7991  3 C 1.54-1.60
B 0.5394 0.9812 0.2009  3 C 1.54-1.60
B 0.5777 0.5145 0.1429  3 C 1.55-1.62
B 0.9241 0.7568 0.8598  3 C 1.58-1.65
B 0.9447 0.2540 0.8160  3 C 1.57-1.60
C 0.2051 0.9746 0.2288  3 B 1.54-1.58
C 0.2459 0.5174 0.1255  4 B 1.60-1.75, 1 C 1.74
C 0.2610 0.7479 0.8660  3 B 1.60-1.62, 1 C 1.74
C 0.2776 0.2601 0.8100  3 B 1.55-1.57
C 0.7224 0.7399 0.1900  3 B 1.55-1.57
C 0.7390 0.2521 0.1340  3 B 1.60-1.62, 1 C 1.74
C 0.7541 0.4826 0.8745  4 B 1.60-1.75, 1 C 1.74
C 0.7949 0.0254 0.7712  3 B 1.54-1.58

Values from the calculation:
ΔE_f: 0.1523 eV/atom
Distance to the lowest polymorph of the same formula: 0.063 eV/atom

[8]
VASP calculation (PBE-GGA) on a geometry-optimized Na2LiCu structure.

Lattice parameters (Å, degrees): 3.0606 3.0606 33.2743 90.00 90.00 120.00
Last column: nearest neighbours and their distance in Å.
Sites, in units of the cell vectors:
Na 0.0000 0.0000 0.0822  1 Cu 2.73, 6 Na 3.06
Na 0.0000 0.0000 0.9178  1 Cu 2.73, 6 Na 3.06
Na 0.3333 0.6667 0.5845  1 Cu 2.73, 6 Na 3.06
Na 0.3333 0.6667 0.7489  1 Cu 2.73, 6 Na 3.06
Na 0.6667 0.3333 0.2511  1 Cu 2.73, 6 Na 3.06
Na 0.6667 0.3333 0.4155  1 Cu 2.73, 6 Na 3.06
Li 0.0000 0.0000 0.5000  6 Li 3.06, 6 Na 3.32
Li 0.3333 0.6667 0.1667  6 Li 3.06, 6 Na 3.32
Li 0.6667 0.3333 0.8333  6 Li 3.06, 6 Na 3.32
Cu 0.0000 0.0000 0.0000  2 Na 2.73, 6 Cu 3.06
Cu 0.3333 0.6667 0.6667  2 Na 2.73, 6 Cu 3.06
Cu 0.6667 0.3333 0.3333  2 Na 2.73, 6 Cu 3.06

Values from the calculation:
ΔE_f: 0.3629 eV/atom
Distance to the lowest polymorph of the same formula: 0.142 eV/atom

[9]
VASP calculation (PBE-GGA) on a geometry-optimized GaAg2PdO structure.

Lattice parameters (Å, degrees): 5.2483 5.2483 3.7911 90.00 90.00 90.00
Last column: nearest neighbours and their distance in Å.
Sites, in units of the cell vectors:
Ga 0.0000 0.0000 0.0000  8 Ag 3.24
Ag 0.0000 0.5000 0.5000  2 Pd 2.62
Ag 0.5000 0.0000 0.5000  2 Pd 2.62
Pd 0.5000 0.5000 0.5000  2 O 1.90
O 0.5000 0.5000 0.0000  2 Pd 1.90

Values from the calculation:
Distance to the lowest polymorph of the same formula: 0.302 eV/atom

[10]
VASP calculation (PBE-GGA) on a geometry-optimized K2LaBe structure.

Lattice parameters (Å, degrees): 3.6196 6.4912 14.7655 90.00 90.00 90.00
Last column: nearest neighbours and their distance in Å.
Sites, in units of the cell vectors:
K 0.0000 0.0000 0.0000  2 K 3.62, 4 Be 3.73, 2 La 4.01
K 0.0000 0.5000 0.1806  2 Be 3.44, 2 K 3.62
K 0.5000 0.0000 0.6806  2 Be 3.44, 2 K 3.62
K 0.5000 0.5000 0.5000  2 K 3.62, 4 Be 3.73, 2 La 4.01
La 0.0000 0.5000 0.8403  2 Be 2.77
La 0.5000 0.0000 0.3403  2 Be 2.77
Be 0.0000 0.0000 0.4825  2 La 2.77
Be 0.5000 0.5000 0.9825  2 La 2.77

Values from the calculation:
ΔE_f: 0.6417 eV/atom

[11]
VASP calculation (PBE-GGA) on a geometry-optimized Pm2LuSb structure.

Lattice parameters (Å, degrees): 4.8194 4.8194 4.8676 90.00 90.00 90.00
Last column: nearest neighbours and their distance in Å.
Sites, in units of the cell vectors:
Pm 0.0000 0.5000 0.0000  4 Pm 3.41, 4 Sb 3.42, 4 Lu 3.42
Pm 0.5000 0.0000 0.0000  4 Pm 3.41, 4 Sb 3.42, 4 Lu 3.42
Lu 0.0000 0.0000 0.5000  4 Sb 3.41, 8 Pm 3.42
Sb 0.5000 0.5000 0.5000  4 Lu 3.41, 8 Pm 3.42

Values from the calculation:
Distance to the lowest polymorph of the same formula: 0.024 eV/atom

[12]
VASP calculation (PBE-GGA) on a geometry-optimized ZrFeTcSe2 structure.

Lattice parameters (Å, degrees): 4.6201 4.6201 4.3689 90.00 90.00 90.00
Last column: nearest neighbours and their distance in Å.
Sites, in units of the cell vectors:
Zr 0.0000 0.0000 0.0000  8 Se 3.18, 4 Tc 3.27
Fe 0.5000 0.5000 0.5000  2 Tc 2.18, 4 Se 2.31
Tc 0.5000 0.5000 0.0000  2 Fe 2.18
Se 0.0000 0.5000 0.5000  2 Fe 2.31
Se 0.5000 0.0000 0.5000  2 Fe 2.31

no.,raw total energy (eV per atom)
1,-2.07
2,-4.34
3,-9.43
4,-0.65
5,-3.24
6,-7.76
7,-7.13
8,-1.80
9,-3.49
10,-2.07
11,-5.03
12,-6.44